First-principles (PBE+U) data for crystalline BiWN2F at its relaxed geometry, as listed in Alexandria.

Computed properties:
Electronic total energy in eV/atom: -4.835

Structure (CIF):
```
data_BiWN2F
_chemical_formula_sum 'Bi1 W1 N2 F1'
_space_group_name_H-M_alt 'P 4/m m m'
_space_group_IT_number 123
_space_group_name_Hall '-P 4 2'
_cell_length_a 4.387
_cell_length_b 4.387
_cell_length_c 4.268
_cell_angle_alpha 90.00
_cell_angle_beta 90.00
_cell_angle_gamma 90.00
loop_
_atom_site_label
_atom_site_type_symbol
_atom_site_fract_x
_atom_site_fract_y
_atom_site_fract_z
Bi1 Bi 0.000 0.000 0.000
W1 W 0.500 0.500 0.500
N1 N 0.000 0.500 0.000
F1 F 0.000 0.000 0.500
```